The following is a DFT calculation (GGA-PBE) of Pr6Si2Pd after structural relaxation.

The uncorrected formation energy comes out at -0.3880 eV/atom. The calculation puts the theoretical density at 6.249 g cm⁻³. For the final energy, the calculation gives -96.4 eV/cell.

It has space group P2_1/c (No. 14), with a = 6.4288 Å, b = 8.2104 Å, c = 11.9834 Å, α = 90.00°, β = 122.11° and γ = 90.00°. The distinct sites, in fractional coordinates, are Pr at (0.0610, 0.1822, 0.4360), Pr at (0.2974, 0.6645, 0.4414), Pr at (0.3730, 0.0391, 0.2366), Si at (0.1695, 0.1203, 0.7492) and Pd at (0.5000, 0.0000, 0.5000).